[1]
# LaPm5Y2Ho

A relaxed LaPm5Y2Ho crystal (PBE, the Alexandria database).

Calculated values
Density (g/cm3): 6.48
Energy of formation (meV/atom): 147
Total moment (μB per formula unit): 0.0

Lattice parameters (Å, degrees): 5.735 20.216 10.677 90.00 90.00 90.00
Space group Cmc2_1 (No. 36)
Asymmetric unit:
La1 0.000 0.084 0.000
Pm1 0.000 0.019 0.288
Pm2 0.000 0.113 0.570
Pm3 0.000 0.204 0.252
Pm4 0.000 0.218 0.860
Pm5 0.000 0.482 0.571
Y1 0.000 0.384 0.867
Y2 0.000 0.387 0.279
Ho1 0.000 0.299 0.557

[2]
# Pu2In2Cu15

A relaxed Pu2In2Cu15 crystal (PBE, the Alexandria database).

Calculated values
Density (g/cm3): 9.69
Energy of formation (meV/atom): 10
Total moment (μB per formula unit): 12.0

Lattice parameters (Å, degrees): 8.8076 8.8076 12.7811 90.00 90.00 120.00
Space group R-3m (No. 166, hexagonal axes)
Asymmetric unit:
Pu1 0.0000 0.0000 0.1405
In1 0.0000 0.0000 0.3902
Cu1 0.0000 0.3067 0.5000
Cu2 0.0000 0.5000 0.0000
Cu3 0.0054 0.5027 0.6544

[3]
# CdFeRu2N

A relaxed CdFeRu2N crystal (PBE, the Alexandria database).

Calculated values
Density (g/cm3): 9.66
Total moment (μB per formula unit): 2.9
Formation energy (no corrections) (eV per atom): 0.169

Lattice parameters (Å, degrees): 4.101 4.101 3.930 90.00 90.00 90.00
Space group P4/mmm (No. 123)
Asymmetric unit:
Cd1 0.000 0.000 0.000
Fe1 0.500 0.500 0.000
Ru1 0.000 0.500 0.500
N1 0.500 0.500 0.500

[4]
# CeDy3Y2Tm6

A relaxed CeDy3Y2Tm6 crystal (PBE, the Alexandria database).

Calculated values
Density (g/cm3): 8.18
Energy of formation (meV/atom): 40
Total moment (μB per formula unit): 1.1

Lattice parameters (Å, degrees): 6.101 10.560 11.645 90.00 100.05 90.00
Space group C2/m (No. 12)
Asymmetric unit:
Ce1 0.000 0.000 0.000
Dy1 0.000 0.168 0.500
Dy2 0.000 0.500 0.500
Y1 0.000 0.333 0.000
Tm1 0.247 0.000 0.749
Tm2 0.249 0.165 0.251

[5]
# MoOs4Rh

A relaxed MoOs4Rh crystal (PBE, the Alexandria database).

Calculated values
Density (g/cm3): 17.02
Energy of formation (meV/atom): 525
Total moment (μB per formula unit): 0.0

Lattice parameters (Å, degrees): 7.209 7.209 7.209 90.00 90.00 90.00
Space group F-43m (No. 216)
Asymmetric unit:
Mo1 0.000 0.000 0.000
Os1 0.124 0.124 0.624
Rh1 0.250 0.250 0.250

[6]
# KRbSnCl4

A relaxed KRbSnCl4 crystal (PBE, the Alexandria database).

Calculated values
Density (g/cm3): 2.51
Total moment (μB per formula unit): 0.0
Formation energy (no corrections) (eV per atom): -1.525

Lattice parameters (Å, degrees): 5.571 5.571 16.452 90.00 90.00 90.00
Space group I4mm (No. 107)
Asymmetric unit:
K1 0.000 0.000 0.000
Rb1 0.000 0.000 0.279
Sn1 0.000 0.000 0.639
Cl1 0.000 0.000 0.472
Cl2 0.000 0.000 0.814
Cl3 0.000 0.500 0.134

[7]
# LiGe2Pt2

A relaxed LiGe2Pt2 crystal (PBE, the Alexandria database).

Calculated values
Energy relative to the lowest polymorph listed for this composition (meV/atom): 136
Density (g/cm3): 9.81
Energy of formation (meV/atom): -378
Total moment (μB per formula unit): 0.0

Lattice parameters (Å, degrees): 4.980 5.181 8.436 82.58 74.11 61.28
Space group P-1 (No. 2)
Asymmetric unit:
Li1 0.131 0.237 0.249
Ge1 0.225 0.729 0.000
Ge2 0.448 0.274 0.500
Pt1 0.216 0.070 0.750
Pt2 0.457 0.585 0.250

[8]
# Pm4InAg2

A relaxed Pm4InAg2 crystal (PBE, the Alexandria database).

Calculated values
Energy relative to the lowest polymorph listed for this composition (meV/atom): 111
Density (g/cm3): 6.97
Energy of formation (meV/atom): -84
Total moment (μB per formula unit): 0.0

Lattice parameters (Å, degrees): 5.1619 5.1619 28.2003 90.00 90.00 120.00
Space group R-3m (No. 166, hexagonal axes)
Asymmetric unit:
Pm1 0.0000 0.0000 0.1217
Pm2 0.0000 0.0000 0.2921
In1 0.0000 0.0000 0.5000
Ag1 0.0000 0.0000 0.3996

[9]
# Nd8SbRu2

A relaxed Nd8SbRu2 crystal (PBE, the Alexandria database).

Calculated values
Density (g/cm3): 7.38
Total moment (μB per formula unit): 0.0
Formation energy (no corrections) (eV per atom): -0.239

Lattice parameters (Å, degrees): 8.839 13.598 5.727 90.00 104.82 90.00
Space group C2/m (No. 12)
Asymmetric unit:
Nd1 0.000 0.246 0.000
Nd2 0.108 0.500 0.801
Nd3 0.201 0.127 0.564
Sb1 0.000 0.000 0.000
Ru1 0.000 0.299 0.500

[10]
# CeU2Ir9

A relaxed CeU2Ir9 crystal (PBE, the Alexandria database).

Calculated values
Density (g/cm3): 18.27
Energy of formation (meV/atom): -499
Total moment (μB per formula unit): 3.1

Lattice parameters (Å, degrees): 5.2963 5.2963 26.3356 90.00 90.00 120.00
Space group R-3m (No. 166, hexagonal axes)
Asymmetric unit:
Ce1 0.0000 0.0000 0.0000
U1 0.0000 0.0000 0.1397
Ir1 0.0000 0.0000 0.3337
Ir2 0.0000 0.0000 0.5000
Ir3 0.0032 0.5016 0.9160

[11]
# V3Cr4Mo2

A relaxed V3Cr4Mo2 crystal (PBE, the Alexandria database).

Calculated values
Density (g/cm3): 7.77
Energy of formation (meV/atom): -63
Total moment (μB per formula unit): 0.0

Lattice parameters (Å, degrees): 4.1889 4.1889 7.7708 90.00 90.00 120.00
Space group P-3m1 (No. 164)
Asymmetric unit:
V1 0.0000 0.0000 0.0000
V2 0.3333 0.6667 0.4396
Cr1 0.0000 0.0000 0.3384
Cr2 0.3333 0.6667 0.1114
Mo1 0.3333 0.6667 0.7801

[12]
# TbGdAu2

A relaxed TbGdAu2 crystal (PBE, the Alexandria database).

Calculated values
Density (g/cm3): 12.39
Energy of formation (meV/atom): -842
Total moment (μB per formula unit): 7.1

Lattice parameters (Å, degrees): 5.136 5.136 3.608 90.00 90.00 90.00
Space group P4/mmm (No. 123)
Asymmetric unit:
Tb1 0.000 0.000 0.000
Gd1 0.500 0.500 0.000
Au1 0.000 0.500 0.500

[13]
# ErMgZn

A relaxed ErMgZn crystal (PBE, the Alexandria database).

Calculated values
Density (g/cm3): 6.36
Energy of formation (meV/atom): -163
Total moment (μB per formula unit): 0.0

Lattice parameters (Å, degrees): 3.333 3.333 12.079 90.00 90.00 90.00
Space group I4mm (No. 107)
Asymmetric unit:
Er1 0.000 0.000 0.000
Mg1 0.000 0.000 0.703
Zn1 0.000 0.000 0.343

[14]
# BaLiPPt2

A relaxed BaLiPPt2 crystal (PBE, the Alexandria database).

Calculated values
Density (g/cm3): 9.20
Energy of formation (meV/atom): -29
Total moment (μB per formula unit): 0.0

Lattice parameters (Å, degrees): 4.713 4.713 4.595 90.00 90.00 90.00
Space group P4/mmm (No. 123)
Asymmetric unit:
Ba1 0.000 0.000 0.000
Li1 0.500 0.500 0.500
P1 0.500 0.500 0.000
Pt1 0.000 0.500 0.500

[15]
# Tb2PrY7

A relaxed Tb2PrY7 crystal (PBE, the Alexandria database).

Calculated values
Energy relative to the lowest polymorph listed for this composition (meV/atom): 475
Density (g/cm3): 4.48
Energy of formation (meV/atom): 691
Total moment (μB per formula unit): 0.0

Lattice parameters (Å, degrees): 8.834 15.978 5.675 90.00 90.00 90.00
Space group Cmmm (No. 65)
Asymmetric unit:
Tb1 0.000 0.203 0.000
Pr1 0.000 0.500 0.500
Y1 0.000 0.000 0.000
Y2 0.000 0.276 0.500
Y3 0.178 0.383 0.000

[16]
# Pr2Mg15In2

A relaxed Pr2Mg15In2 crystal (PBE, the Alexandria database).

Calculated values
Density (g/cm3): 3.13
Energy of formation (meV/atom): -101
Total moment (μB per formula unit): 0.0

Lattice parameters (Å, degrees): 10.2946 10.2946 15.1705 90.00 90.00 120.00
Space group R-3m (No. 166, hexagonal axes)
Asymmetric unit:
Pr1 0.0000 0.0000 0.1746
Mg1 0.0000 0.3075 0.5000
Mg2 0.0000 0.5000 0.0000
Mg3 0.0093 0.5047 0.6543
In1 0.0000 0.0000 0.4007

[17]
# CsLiBi2Au

A relaxed CsLiBi2Au crystal (PBE, the Alexandria database).

Calculated values
Density (g/cm3): 6.91
Energy of formation (meV/atom): 211
Total moment (μB per formula unit): 0.0

Lattice parameters (Å, degrees): 5.127 5.127 6.896 90.00 90.00 90.00
Space group P4/mmm (No. 123)
Asymmetric unit:
Cs1 0.000 0.000 0.000
Li1 0.000 0.000 0.500
Bi1 0.000 0.500 0.500
Au1 0.500 0.500 0.000

[18]
# Ba3GaHg

A relaxed Ba3GaHg crystal (PBE, the Alexandria database).

Calculated values
Energy relative to the lowest polymorph listed for this composition (meV/atom): 0
Density (g/cm3): 5.48
Energy of formation (meV/atom): -366
Total moment (μB per formula unit): 0.0

Lattice parameters (Å, degrees): 5.954 23.341 5.955 90.00 90.00 90.00
Space group Cmcm (No. 63)
Asymmetric unit:
Ba1 0.000 0.078 0.250
Ba2 0.000 0.249 0.250
Ba3 0.000 0.420 0.250
Ga1 0.000 0.158 0.750
Hg1 0.000 0.340 0.750

[19]
# LiVHg

A relaxed LiVHg crystal (PBE, the Alexandria database).

Calculated values
Energy relative to the lowest polymorph listed for this composition (meV/atom): 417
Density (g/cm3): 7.45
Energy of formation (meV/atom): 449
Total moment (μB per formula unit): 3.2

Lattice parameters (Å, degrees): 4.7724 4.7724 2.9226 90.00 90.00 120.00
Space group P-6m2 (No. 187)
Asymmetric unit:
Li1 0.0000 0.0000 0.0000
V1 0.6667 0.3333 0.5000
Hg1 0.3333 0.6667 0.5000

[20]
# LaDy2InCo

A relaxed LaDy2InCo crystal (PBE, the Alexandria database).

Calculated values
Density (g/cm3): 7.80
Energy of formation (meV/atom): -257
Total moment (μB per formula unit): 0.0

Lattice parameters (Å, degrees): 6.762 4.865 8.783 90.00 109.91 90.00
Space group P2_1/m (No. 11)
Asymmetric unit:
La1 0.245 0.250 0.442
Dy1 0.052 0.250 0.856
Dy2 0.406 0.750 0.102
In1 0.307 0.750 0.712
Co1 0.241 0.250 0.165